(1)
Below is a relaxed LuThCuAu crystal, with properties calculated at the PBE level.

Cell lengths 5.072, 5.072, 5.072 Å; angles 60.00, 60.00, 60.00 degrees
Sites, in units of the cell vectors:
Lu1 0.000 0.000 0.000
Th1 0.500 0.500 0.500
Cu1 0.750 0.750 0.750
Au1 0.250 0.250 0.250

Summary:
The volume comes out at 23.1 Å³ per atom. As for the space-group type: F-43m. The density comes out at 12.0 g cm⁻³. As for the energy: -21.0 eV per cell. The calculation puts the magnetic moment at 0.00 μB per cell.

***

(2)
Below is a relaxed PmDy4Tm3 crystal, with properties calculated at the PBE level.

Cell lengths 11.205, 7.236, 6.250 Å; angles 90.00, 90.00, 90.00 degrees
Sites, in units of the cell vectors:
Pm1 0.000 0.125 0.000
Pm2 0.500 0.875 0.500
Dy1 0.000 0.374 0.501
Dy2 0.000 0.626 0.998
Dy3 0.248 0.625 0.334
Dy4 0.252 0.375 0.834
Dy5 0.500 0.374 0.498
Dy6 0.500 0.626 0.001
Dy7 0.748 0.375 0.834
Dy8 0.752 0.625 0.334
Tm1 0.000 0.876 0.500
Tm2 0.250 0.125 0.333
Tm3 0.250 0.875 0.833
Tm4 0.500 0.124 0.000
Tm5 0.750 0.125 0.333
Tm6 0.750 0.875 0.833

Summary:
The volume comes out at 31.7 Å³ per atom. As for the space-group type: Pmn2_1. The density comes out at 8.5 g cm⁻³. As for the energy: -73.1 eV per cell. The calculation puts the magnetic moment at 0.00 μB per cell.

***

(3)
Below is a relaxed LiPr2Ge crystal, with properties calculated at the PBE level.

Cell lengths 6.489, 4.558, 7.433 Å; angles 90.00, 107.48, 90.00 degrees
Sites, in units of the cell vectors:
Li1 0.096 0.250 0.197
Li2 0.904 0.750 0.803
Pr1 0.260 0.750 0.567
Pr2 0.357 0.750 0.104
Pr3 0.643 0.250 0.896
Pr4 0.740 0.250 0.433
Ge1 0.132 0.250 0.809
Ge2 0.868 0.750 0.191

Summary:
The volume comes out at 26.2 Å³ per atom. As for the space-group type: P2_1/m. The density comes out at 5.7 g cm⁻³. As for the energy: -35.7 eV per cell. The calculation puts the magnetic moment at 0.00 μB per cell.

***

(4)
Below is a relaxed Tc2SnSb2 crystal, with properties calculated at the PBE level.

Cell lengths 6.807, 6.807, 6.807 Å; angles 144.40, 144.40, 51.23 degrees
Sites, in units of the cell vectors:
Tc1 0.111 0.111 0.000
Tc2 0.889 0.889 0.000
Sn1 0.500 0.500 0.000
Sb1 0.250 0.750 0.500
Sb2 0.750 0.250 0.500

Summary:
The volume comes out at 21.3 Å³ per atom. As for the space-group type: I4/mmm. The density comes out at 8.7 g cm⁻³. For the uncorrected formation energy, the calculation gives 0.4121 eV per atom. The calculation puts the magnetic moment at 0.00 μB per cell.

***

(5)
Below is a relaxed RhWBr2 crystal, with properties calculated at the PBE level.

Cell lengths 7.322, 7.322, 4.457 Å; angles 96.51, 96.51, 24.78 degrees
Sites, in units of the cell vectors:
Rh1 0.000 0.000 0.000
W1 0.500 0.500 0.500
Br1 0.141 0.141 0.698
Br2 0.859 0.859 0.302

Summary:
The volume comes out at 24.9 Å³ per atom. As for the space-group type: C2/m. The density comes out at 7.5 g cm⁻³. For the uncorrected formation energy, the calculation gives 0.3664 eV per atom. The calculation puts the magnetic moment at 0.89 μB per cell.

***

(6)
Below is a relaxed TcAs2W crystal, with properties calculated at the PBE level.

Cell lengths 8.065, 8.065, 8.065 Å; angles 21.62, 21.62, 21.62 degrees
Sites, in units of the cell vectors:
Tc1 0.000 0.000 0.000
As1 0.252 0.252 0.252
As2 0.748 0.748 0.748
W1 0.500 0.500 0.500

Summary:
The volume comes out at 15.6 Å³ per atom. As for the space-group type: R-3m. The density comes out at 11.5 g cm⁻³. As for the energy: -31.6 eV per cell. The calculation puts the magnetic moment at 0.00 μB per cell.

***

(7)
Below is a relaxed Pa2HN3 crystal, with properties calculated at the PBE level.

Cell lengths 6.613, 6.613, 6.673 Å; angles 98.98, 98.98, 33.58 degrees
Sites, in units of the cell vectors:
Pa1 0.127 0.127 0.389
Pa2 0.366 0.366 0.133
Pa3 0.634 0.634 0.867
Pa4 0.873 0.873 0.611
H1 0.441 0.441 0.820
H2 0.559 0.559 0.180
N1 0.058 0.058 0.699
N2 0.184 0.184 0.077
N3 0.318 0.318 0.451
N4 0.682 0.682 0.549
N5 0.816 0.816 0.923
N6 0.942 0.942 0.301

Summary:
The volume comes out at 13.3 Å³ per atom. As for the space-group type: C2/m. The density comes out at 10.5 g cm⁻³. As for the energy: -113.2 eV per cell. The calculation puts the magnetic moment at 0.00 μB per cell.

***

(8)
Below is a relaxed ScTaAs3 crystal, with properties calculated at the PBE level.

Cell lengths 4.968, 4.968, 4.968 Å; angles 90.00, 90.00, 90.00 degrees
Sites, in units of the cell vectors:
Sc1 0.000 0.000 0.000
Ta1 0.500 0.500 0.500
As1 0.000 0.500 0.500
As2 0.500 0.000 0.500
As3 0.500 0.500 0.000

Summary:
The volume comes out at 24.5 Å³ per atom. As for the space-group type: Pm-3m. The density comes out at 6.1 g cm⁻³. As for the energy: -31.8 eV per cell. The calculation puts the magnetic moment at 0.00 μB per cell.

***

(9)
Below is a relaxed NdHo3Cl crystal, with properties calculated at the PBE level.

Cell lengths 5.291, 5.291, 5.291 Å; angles 90.00, 90.00, 90.00 degrees
Sites, in units of the cell vectors:
Nd1 0.000 0.000 0.000
Ho1 0.000 0.500 0.500
Ho2 0.500 0.000 0.500
Ho3 0.500 0.500 0.000
Cl1 0.500 0.500 0.500

Summary:
The volume comes out at 29.6 Å³ per atom. As for the space-group type: Pm-3m. The density comes out at 7.6 g cm⁻³. For the uncorrected formation energy, the calculation gives -0.4418 eV per atom. The calculation puts the magnetic moment at 0.00 μB per cell.

***

(10)
Below is a relaxed Y4ErTl crystal, with properties calculated at the PBE level.

Cell lengths 8.266, 8.266, 6.455 Å; angles 99.71, 99.71, 116.06 degrees
Sites, in units of the cell vectors:
Y1 0.093 0.713 0.959
Y2 0.164 0.408 0.620
Y3 0.287 0.907 0.541
Y4 0.408 0.164 0.120
Y5 0.592 0.836 0.880
Y6 0.713 0.093 0.459
Y7 0.836 0.592 0.380
Y8 0.907 0.287 0.041
Er1 0.408 0.592 0.250
Er2 0.592 0.408 0.750
Tl1 0.000 0.000 0.250
Tl2 0.000 0.000 0.750

Summary:
The volume comes out at 31.3 Å³ per atom. As for the space-group type: C2/c. The density comes out at 6.4 g cm⁻³. As for the energy: -65.9 eV per cell. The calculation puts the magnetic moment at 0.00 μB per cell.

***

(11)
Below is a relaxed Ni2POs crystal, with properties calculated at the PBE level.

Cell lengths 4.429, 4.429, 2.742 Å; angles 90.00, 90.00, 114.99 degrees
Sites, in units of the cell vectors:
Ni1 0.000 0.500 0.000
Ni2 0.500 0.000 0.000
P1 0.000 0.000 0.500
Os1 0.500 0.500 0.500

Summary:
The volume comes out at 12.2 Å³ per atom. As for the space-group type: Cmmm. The density comes out at 11.5 g cm⁻³. As for the energy: -28.1 eV per cell. The calculation puts the magnetic moment at 0.00 μB per cell.

***

(12)
Below is a relaxed Ac2PuGa4Au3 crystal, with properties calculated at the PBE level.

Cell lengths 4.520, 4.520, 11.724 Å; angles 90.00, 90.00, 90.00 degrees
Sites, in units of the cell vectors:
Ac1 0.000 0.500 0.236
Ac2 0.500 0.000 0.764
Pu1 0.000 0.000 0.500
Ga1 0.000 0.000 0.000
Ga2 0.000 0.500 0.660
Ga3 0.500 0.000 0.340
Ga4 0.500 0.500 0.000
Au1 0.000 0.500 0.879
Au2 0.500 0.000 0.121
Au3 0.500 0.500 0.500

Summary:
The volume comes out at 24.0 Å³ per atom. As for the space-group type: P-4m2. The density comes out at 10.9 g cm⁻³. As for the energy: -49.8 eV per cell. The calculation puts the magnetic moment at 6.04 μB per cell.

***

(13)
Below is a relaxed Dy5Ho3Tl crystal, with properties calculated at the PBE level.

Cell lengths 8.253, 8.253, 10.086 Å; angles 103.93, 103.93, 86.84 degrees
Sites, in units of the cell vectors:
Dy1 0.059 0.578 0.213
Dy2 0.233 0.767 0.000
Dy3 0.239 0.239 0.059
Dy4 0.249 0.249 0.407
Dy5 0.422 0.941 0.787
Dy6 0.578 0.059 0.213
Dy7 0.751 0.751 0.593
Dy8 0.761 0.761 0.941
Dy9 0.767 0.233 0.000
Dy10 0.941 0.422 0.787
Ho1 0.000 0.000 0.500
Ho2 0.001 0.001 0.816
Ho3 0.497 0.497 0.329
Ho4 0.500 0.500 0.000
Ho5 0.503 0.503 0.671
Ho6 0.999 0.999 0.184
Tl1 0.268 0.268 0.732
Tl2 0.732 0.732 0.268

Summary:
The volume comes out at 35.9 Å³ per atom. As for the space-group type: C2/m. The density comes out at 7.8 g cm⁻³. As for the energy: -71.2 eV per cell. The calculation puts the magnetic moment at 0.00 μB per cell.

***

(14)
Below is a relaxed Nd2Zn2AgPt5 crystal, with properties calculated at the PBE level.

Cell lengths 9.712, 9.712, 3.893 Å; angles 90.00, 90.00, 90.00 degrees
Sites, in units of the cell vectors:
Nd1 0.179 0.321 0.000
Nd2 0.321 0.821 0.000
Nd3 0.679 0.179 0.000
Nd4 0.821 0.679 0.000
Zn1 0.119 0.619 0.000
Zn2 0.381 0.119 0.000
Zn3 0.619 0.881 0.000
Zn4 0.881 0.381 0.000
Ag1 0.000 0.000 0.000
Ag2 0.500 0.500 0.000
Pt1 0.000 0.500 0.500
Pt2 0.064 0.793 0.500
Pt3 0.207 0.064 0.500
Pt4 0.293 0.564 0.500
Pt5 0.436 0.293 0.500
Pt6 0.500 0.000 0.500
Pt7 0.564 0.707 0.500
Pt8 0.707 0.436 0.500
Pt9 0.793 0.936 0.500
Pt10 0.936 0.207 0.500

Summary:
The volume comes out at 18.4 Å³ per atom. As for the space-group type: P4/mbm. The density comes out at 13.6 g cm⁻³. As for the energy: -104.2 eV per cell. The calculation puts the magnetic moment at 0.00 μB per cell.

***

(15)
Below is a relaxed TcN2OF crystal, with properties calculated at the PBE level.

Cell lengths 3.560, 3.560, 3.649 Å; angles 90.00, 90.00, 90.00 degrees
Sites, in units of the cell vectors:
Tc1 0.000 0.000 0.000
N1 0.000 0.500 0.500
N2 0.500 0.000 0.500
O1 0.500 0.500 0.000
F1 0.500 0.500 0.500

Summary:
The volume comes out at 9.2 Å³ per atom. As for the space-group type: P4/mmm. The density comes out at 5.8 g cm⁻³. For the uncorrected formation energy, the calculation gives 2.1652 eV per atom. The calculation puts the magnetic moment at 0.00 μB per cell.

***

(16)
Below is a relaxed CrAu2C crystal, with properties calculated at the PBE level.

Cell lengths 3.023, 5.082, 5.082 Å; angles 50.69, 90.00, 90.00 degrees
Sites, in units of the cell vectors:
Cr1 0.000 0.000 0.000
Au1 0.500 0.331 0.331
Au2 0.500 0.633 0.633
C1 0.500 0.871 0.871

Summary:
The volume comes out at 15.1 Å³ per atom. As for the space-group type: Amm2. The density comes out at 12.6 g cm⁻³. As for the energy: -22.9 eV per cell. The calculation puts the magnetic moment at 2.51 μB per cell.

***

(17)
Below is a relaxed Er2Pu3ThTe6 crystal, with properties calculated at the PBE level.

Cell lengths 9.813, 9.813, 8.833 Å; angles 102.06, 102.06, 25.74 degrees
Sites, in units of the cell vectors:
Er1 0.166 0.166 0.337
Er2 0.834 0.834 0.663
Pu1 0.163 0.163 0.837
Pu2 0.500 0.500 0.500
Pu3 0.837 0.837 0.163
Th1 0.500 0.500 0.000
Te1 0.004 0.004 0.258
Te2 0.330 0.330 0.906
Te3 0.331 0.331 0.418
Te4 0.669 0.669 0.582
Te5 0.670 0.670 0.094
Te6 0.996 0.996 0.742

Summary:
The volume comes out at 30.1 Å³ per atom. As for the space-group type: C2/m. The density comes out at 9.5 g cm⁻³. For the uncorrected formation energy, the calculation gives -1.1355 eV per atom. The calculation puts the magnetic moment at 6.09 μB per cell.

***

(18)
Below is a relaxed Ce3PrGa8 crystal, with properties calculated at the PBE level.

Cell lengths 9.708, 9.708, 9.708 Å; angles 33.56, 33.56, 33.56 degrees
Sites, in units of the cell vectors:
Ce1 0.000 0.000 0.000
Ce2 0.122 0.122 0.122
Ce3 0.627 0.627 0.627
Pr1 0.500 0.500 0.500
Ga1 0.062 0.562 0.562
Ga2 0.063 0.063 0.562
Ga3 0.063 0.562 0.063
Ga4 0.312 0.312 0.312
Ga5 0.562 0.062 0.562
Ga6 0.562 0.063 0.063
Ga7 0.562 0.562 0.062
Ga8 0.812 0.812 0.812

Summary:
The volume comes out at 20.8 Å³ per atom. As for the space-group type: R3m. The density comes out at 7.5 g cm⁻³. As for the energy: -53.2 eV per cell. The calculation puts the magnetic moment at 2.99 μB per cell.

***

(19)
Below is a relaxed NpInPdO6 crystal, with properties calculated at the PBE level.

Cell lengths 5.342, 5.342, 9.619 Å; angles 90.00, 90.00, 120.00 degrees
Sites, in units of the cell vectors:
Np1 0.333 0.667 0.250
Np2 0.667 0.333 0.750
In1 0.000 0.000 0.000
In2 0.000 0.000 0.500
Pd1 0.333 0.667 0.750
Pd2 0.667 0.333 0.250
O1 0.005 0.342 0.131
O2 0.005 0.663 0.369
O3 0.337 0.342 0.369
O4 0.337 0.995 0.131
O5 0.342 0.005 0.631
O6 0.342 0.337 0.869
O7 0.658 0.663 0.131
O8 0.658 0.995 0.369
O9 0.663 0.005 0.869
O10 0.663 0.658 0.631
O11 0.995 0.337 0.631
O12 0.995 0.658 0.869

Summary:
The volume comes out at 13.2 Å³ per atom. As for the space-group type: P-31c. The density comes out at 7.7 g cm⁻³. For the uncorrected formation energy, the calculation gives -1.6644 eV per atom. The calculation puts the magnetic moment at 4.06 μB per cell.

***

(20)
Below is a relaxed SbPtW2 crystal, with properties calculated at the PBE level.

Cell lengths 5.217, 5.217, 5.217 Å; angles 141.83, 127.75, 66.52 degrees
Sites, in units of the cell vectors:
Sb1 0.000 0.000 0.000
Pt1 0.766 0.266 0.500
W1 0.251 0.751 0.500
W2 0.499 0.499 0.000

Summary:
The volume comes out at 17.1 Å³ per atom. As for the space-group type: Imm2. The density comes out at 16.6 g cm⁻³. For the uncorrected formation energy, the calculation gives 0.3468 eV per atom. The calculation puts the magnetic moment at 0.00 μB per cell.

***

(21)
Below is a relaxed Ba2GaP crystal, with properties calculated at the PBE level.

Cell lengths 5.656, 5.656, 5.656 Å; angles 60.00, 60.00, 60.00 degrees
Sites, in units of the cell vectors:
Ba1 0.250 0.250 0.250
Ba2 0.750 0.750 0.750
Ga1 0.000 0.000 0.000
P1 0.500 0.500 0.500

Summary:
The volume comes out at 32.0 Å³ per atom. As for the space-group type: Fm-3m. The density comes out at 4.9 g cm⁻³. As for the energy: -14.0 eV per cell. The calculation puts the magnetic moment at 0.00 μB per cell.

***

(22)
Below is a relaxed TlIrRh2 crystal, with properties calculated at the PBE level.

Cell lengths 4.842, 4.842, 4.944 Å; angles 99.90, 99.90, 34.68 degrees
Sites, in units of the cell vectors:
Tl1 0.000 0.000 0.000
Ir1 0.755 0.755 0.296
Rh1 0.246 0.246 0.748
Rh2 0.498 0.498 0.498

Summary:
The volume comes out at 16.2 Å³ per atom. As for the space-group type: Cm. The density comes out at 15.4 g cm⁻³. As for the energy: -25.0 eV per cell. The calculation puts the magnetic moment at 0.00 μB per cell.

***

(23)
Below is a relaxed AgGeAu2 crystal, with properties calculated at the PBE level.

Cell lengths 9.515, 9.515, 9.515 Å; angles 18.13, 18.13, 18.13 degrees
Sites, in units of the cell vectors:
Ag1 0.000 0.000 0.000
Ge1 0.500 0.500 0.500
Au1 0.249 0.249 0.249
Au2 0.751 0.751 0.751

Summary:
The volume comes out at 18.2 Å³ per atom. As for the space-group type: R-3m. The density comes out at 13.1 g cm⁻³. As for the energy: -13.9 eV per cell. The calculation puts the magnetic moment at 0.00 μB per cell.

***

(24)
Below is a relaxed Zr2ScPd3 crystal, with properties calculated at the PBE level.

Cell lengths 3.378, 3.378, 9.824 Å; angles 90.00, 90.00, 90.00 degrees
Sites, in units of the cell vectors:
Zr1 0.000 0.000 0.167
Zr2 0.000 0.000 0.833
Sc1 0.000 0.000 0.500
Pd1 0.500 0.500 0.000
Pd2 0.500 0.500 0.336
Pd3 0.500 0.500 0.664

Summary:
The volume comes out at 18.7 Å³ per atom. As for the space-group type: P4/mmm. The density comes out at 8.1 g cm⁻³. As for the energy: -43.1 eV per cell. The calculation puts the magnetic moment at 0.00 μB per cell.